Entry 1:
SiNi2Rh | the Alexandria database | GGA-PBE | relaxed; ΔE_f (raw) = -422 meV per atom; size of the total moment = 0.6 μB per formula unit; space group = P4/mmm
1.0
-3.156 1.647 -0.062
-0.233 -0.313 3.539
1.716 3.303 0.405
Rh Ni Si
1 2 1
Cartesian
-0.720 2.475 0.172
0.000 0.000 0.000
-1.695 0.667 1.738
0.741 1.495 1.972


Entry 2:
Nd7DyTm4 | the Alexandria database | GGA-PBE | relaxed; size of the total moment = 0.1 μB per formula unit; excess energy over the best structure of this formula in the dataset = 20.28 kJ/mol of atoms; space group = C2/m; DFT formation energy = 0.216 eV/atom
1.0
-3.592 2.434 -4.134
-5.829 -6.969 -3.382
-8.167 -0.110 2.688
Nd Tm Dy
7 4 1
Cartesian
-11.814 -4.825 -1.263
-11.812 -1.005 -3.359
-1.796 1.217 -2.067
-5.193 -0.319 -0.019
-12.395 -4.326 -4.809
-5.776 -3.640 -1.468
-5.774 0.180 -3.565
-9.205 -3.873 -2.969
-6.358 -2.724 -4.767
-11.230 -1.922 -0.061
-8.383 -0.772 -1.858
0.000 0.000 0.000


Entry 3:
Cu3Ag2Cl6 | the Alexandria database | GGA-PBE | relaxed; ΔE_f (raw) = -433 meV per atom; size of the total moment = 0.9 μB per formula unit; space group = C2/c
1.0
7.358 0.000 2.052
2.563 3.713 5.028
-2.931 4.465 24.719
Cu Ag Cl
6 4 12
Cartesian
6.565 1.285 8.192
2.316 2.804 9.210
1.170 4.277 20.557
0.425 6.894 23.607
5.820 3.901 11.242
4.674 5.374 22.589
8.945 3.841 8.748
-1.956 4.337 23.051
-0.213 4.217 16.804
7.203 3.961 14.995
0.608 4.839 22.922
3.477 5.832 26.069
-0.341 6.906 25.859
6.381 3.339 8.877
1.914 3.715 18.242
1.805 2.816 11.533
-1.361 2.722 14.982
8.350 5.456 16.817
3.513 2.346 5.730
5.076 4.463 13.557
7.330 1.273 5.940
5.184 5.362 20.266


Entry 4:
Pr7Ho6Er16 | the Alexandria database | GGA-PBE | relaxed; size of the total moment = 0.0 μB per formula unit; space group = Fm-3m; DFT formation energy = 0.264 eV/atom
1.0
9.703 0.000 5.602
3.234 9.148 5.602
0.000 0.000 11.204
Ho Pr Er
6 7 16
Cartesian
3.277 2.317 11.204
4.873 6.831 8.440
9.661 6.831 11.204
4.873 6.831 13.968
8.065 2.317 8.440
8.065 2.317 13.968
6.469 4.574 5.602
4.852 0.000 8.403
0.000 0.000 0.000
4.852 0.000 2.801
0.000 0.000 5.602
1.617 4.574 2.801
1.617 4.574 8.403
6.469 8.650 11.204
6.469 0.498 11.204
4.547 3.215 7.876
8.390 5.933 14.532
8.390 5.933 7.876
1.684 1.191 8.287
11.253 7.957 19.491
6.603 7.957 16.806
6.335 1.191 5.602
3.234 5.575 5.602
2.626 5.933 11.204
1.684 1.191 2.917
4.547 3.215 14.532
11.253 7.957 14.121
9.703 3.573 16.806
10.312 3.215 11.204


Entry 5:
CuIr2RhI | the Alexandria database | GGA-PBE | relaxed; ΔE_f (raw) = 1810 meV per atom; size of the total moment = 3.0 μB per formula unit; space group = P4/mmm
1.0
-0.125 4.279 1.593
-2.703 -1.465 3.723
3.783 -0.796 2.434
Ir Rh Cu I
2 1 1 1
Cartesian
-0.063 2.140 0.797
1.891 -0.398 1.217
0.477 1.009 3.875
0.000 0.000 0.000
-1.352 -0.732 1.861


Entry 6:
BaBTe2I | the Alexandria database | GGA-PBE | relaxed; ΔE_f (raw) = -235 meV per atom; size of the total moment = 0.0 μB per formula unit; excess energy over the best structure of this formula in the dataset = 0.00 kJ/mol of atoms; space group = P4/mmm
1.0
-0.235 1.938 -4.617
-4.914 -0.973 -0.159
-1.154 5.444 2.344
Te I B Ba
2 1 1 1
Cartesian
-2.457 -0.487 -0.079
-0.117 0.969 -2.308
-0.577 2.722 1.172
0.000 0.000 0.000
-3.152 3.204 -1.216


Entry 7:
LiSc3Sb | the Alexandria database | GGA-PBE | relaxed; ΔE_f (raw) = 154 meV per atom; size of the total moment = 1.2 μB per formula unit; excess energy over the best structure of this formula in the dataset = 0.00 kJ/mol of atoms; space group = Pm-3m
1.0
-2.228 -1.951 -3.847
4.280 -0.458 -2.246
0.540 -4.422 1.930
Sc Li Sb
3 1 1
Cartesian
-1.114 -0.975 -1.924
0.270 -2.211 0.965
2.140 -0.229 -1.123
0.000 0.000 0.000
1.296 -3.416 -2.082


Entry 8:
PmPd4Au7 | the Alexandria database | GGA-PBE | relaxed; size of the total moment = 0.0 μB per formula unit; space group = C2/m; DFT formation energy = -0.064 eV/atom
1.0
-2.631 -1.020 4.364
-7.950 -2.432 -2.267
0.296 -5.843 1.907
Au Pd Pm
7 4 1
Cartesian
-9.103 -6.058 2.379
-1.182 -3.237 1.625
-5.139 -3.239 2.333
-5.060 -6.316 4.756
-5.224 -2.979 -0.752
-1.316 -0.510 2.182
-5.145 -6.056 1.671
-6.980 -7.592 3.300
-7.169 -4.475 0.821
-3.116 -4.821 3.183
-3.304 -1.703 0.704
0.000 0.000 0.000